[1]
Sm4Dy4Er5 after structural relaxation, computed with GGA-PBE.

```
13
Lattice="4.8615 0.0000 1.2360 2.4307 9.0659 0.6180 0.1968 0.0000 9.4043" Properties=species:S:1:pos:R:3 pbc="T T T"
Sm 1.7497 4.8841 3.2966
Er 1.9195 1.3703 2.6287
Dy 2.7979 5.5981 9.3523
Dy 6.4377 8.3745 5.2148
Dy 4.6911 3.4677 1.9060
Sm 3.6579 6.3020 5.9696
Er 4.5238 6.9912 2.5641
Er 0.0000 0.0000 0.0000
Dy 1.0513 0.6913 6.0435
Sm 5.7393 4.1817 7.9617
Er 5.5695 7.6955 8.6297
Sm 3.8310 2.7638 5.2888
Er 2.9652 2.0746 8.6942
```

Summary:
E_form = 19 meV/atom
DFT total energy = -4.604 eV/atom

=====

[2]
Ce2Pr3TmS6 after structural relaxation, computed with GGA-PBE.

```
12
Lattice="6.9852 -0.0043 -0.0027 -3.4946 6.0482 -0.0027 -1.1672 -2.0210 6.6079" Properties=species:S:1:pos:R:3 pbc="T T T"
S 0.0579 4.0283 5.0421
S 2.2655 -0.0054 1.5604
Ce 0.0048 4.0272 -0.0027
S -1.1368 1.9596 1.5604
S 2.3588 4.0843 1.5761
Pr 1.1617 2.0115 3.3012
Tm 0.0000 0.0000 0.0000
S -0.0355 -0.0614 5.0264
S 3.4602 2.0633 5.0421
Pr 4.6338 0.0062 3.3012
Pr -2.3104 4.0167 3.3012
Ce 3.4858 2.0168 -0.0027
```

Summary:
energy relative to the elements, uncorrected = -2017 meV per atom
DFT total energy = -6.637 eV/atom

=====

[3]
SrCaAl2Ni after structural relaxation, computed with GGA-PBE.

```
5
Lattice="-2.1937 3.7099 -2.0981 0.0703 -2.3279 -4.1897 -4.5983 -2.1021 1.0908" Properties=species:S:1:pos:R:3 pbc="T T T"
Ca -2.2991 -1.0511 0.5454
Ni 0.0000 0.0000 0.0000
Al 0.0352 -1.1640 -2.0948
Al -1.0969 1.8549 -1.0491
Sr -3.3608 -0.3601 -2.5985
```

Summary:
E_form = -187 meV/atom
DFT total energy = -3.577 eV/atom

=====

[4]
LiYRh2 after structural relaxation, computed with GGA-PBE.

```
4
Lattice="4.5809 0.0000 0.0000 2.2905 3.9672 0.0000 2.2905 1.3224 3.7403" Properties=species:S:1:pos:R:3 pbc="T T T"
Li 4.5809 2.6448 1.8701
Rh 0.0000 0.0000 0.0000
Rh 2.2905 1.3224 0.9351
Y 6.8714 3.9672 2.8052
```

Summary:
E_form = -307 meV/atom
DFT total energy = -6.077 eV/atom

=====

[5]
Ge2RhS after structural relaxation, computed with GGA-PBE.

```
8
Lattice="-3.7592 -3.8049 2.1213 -1.6344 -1.3653 -5.3454 1.0691 -6.4039 -1.7881" Properties=species:S:1:pos:R:3 pbc="T T T"
Rh -2.6934 -6.3970 -0.6395
S -1.6310 -5.1772 -4.3728
S -2.6968 -2.5851 -1.6121
Ge -1.1434 -2.8482 -3.5683
Ge -1.1856 -6.7125 -2.4354
Rh 0.0000 0.0000 0.0000
Ge -2.3672 -4.2314 0.2561
Ge -3.9526 -9.3562 -4.2770
```

Summary:
energy relative to the elements, uncorrected = -56 meV per atom
DFT total energy = -5.234 eV/atom

=====

[6]
LaNdGdTm after structural relaxation, computed with GGA-PBE.

```
4
Lattice="5.7721 0.0000 0.0000 2.8860 4.9988 0.0000 2.8860 1.6663 4.7129" Properties=species:S:1:pos:R:3 pbc="T T T"
Tm 5.7721 3.3325 2.3564
La 2.8860 1.6663 1.1782
Nd 8.6581 4.9988 3.5347
Gd 0.0000 0.0000 0.0000
```

Summary:
E_form = 94 meV/atom
DFT total energy = -6.968 eV/atom

=====

[7]
ZrCrTe2 after structural relaxation, computed with GGA-PBE.

```
4
Lattice="-2.7560 -0.4430 4.2507 -1.1885 -4.6086 1.7910 2.1700 -1.7054 4.2711" Properties=species:S:1:pos:R:3 pbc="T T T"
Cr -0.8872 -3.3785 5.1563
Te 0.0000 0.0000 0.0000
Zr -1.3308 -5.0678 7.7345
Te -0.4436 -1.6893 2.5782
```

Summary:
energy relative to the elements, uncorrected = 342 meV per atom
DFT total energy = -5.772 eV/atom

=====

[8]
Ca2Y2P after structural relaxation, computed with GGA-PBE.

```
5
Lattice="-2.4380 -1.1662 -2.9403 -0.6453 -3.4509 1.9038 -8.8008 1.5297 3.9784" Properties=species:S:1:pos:R:3 pbc="T T T"
Ca -6.3903 -0.9725 0.2599
P 0.0000 0.0000 0.0000
Y -2.7208 -1.6851 0.2121
Ca -5.4939 -2.1149 2.6820
Y -9.1634 -1.4023 2.7298
```

Summary:
E_form = 216 meV/atom
DFT total energy = -4.253 eV/atom

=====

[9]
Rb3AgP after structural relaxation, computed with GGA-PBE.

```
5
Lattice="6.5045 0.0000 0.0000 0.0000 6.5045 0.0000 0.0000 0.0000 6.5045" Properties=species:S:1:pos:R:3 pbc="T T T"
Rb 0.0000 0.0000 3.2523
Rb 3.2523 0.0000 0.0000
P 0.0000 0.0000 0.0000
Ag 3.2523 3.2523 3.2523
Rb 0.0000 3.2523 0.0000
```

Summary:
E_form = 109 meV/atom
DFT total energy = -2.124 eV/atom

=====

[10]
SnAs2IrN after structural relaxation, computed with GGA-PBE.

```
5
Lattice="-0.6266 -4.6016 -2.2861 0.7188 -2.2585 4.3491 -5.0830 0.2185 0.9535" Properties=species:S:1:pos:R:3 pbc="T T T"
As -2.5415 0.1092 0.4768
As -0.3133 -2.3008 -1.1431
N -2.4954 -3.3208 1.5082
Sn 0.0000 0.0000 0.0000
Ir 0.3594 -1.1293 2.1745
```

Summary:
energy relative to the elements, uncorrected = 2518 meV per atom
DFT total energy = -3.580 eV/atom

=====

[11]
DyTlAu after structural relaxation, computed with GGA-PBE.

```
3
Lattice="3.4403 0.0000 0.0000 0.0000 4.8920 0.0000 0.0000 -2.4460 4.2366" Properties=species:S:1:pos:R:3 pbc="T T T"
Au 0.5699 0.0000 2.8244
Tl 0.5763 0.0000 0.0000
Dy 2.2941 2.4460 1.4122
```

Summary:
E_form = -494 meV/atom
DFT total energy = -3.909 eV/atom

=====

[12]
Na2CeBF8 after structural relaxation, computed with GGA-PBE.

```
12
Lattice="4.4695 0.0037 0.0481 0.0839 5.3601 0.2737 0.1104 0.3920 6.8236" Properties=species:S:1:pos:R:3 pbc="T T T"
F 0.6185 4.1988 1.7848
F 4.0452 1.5570 5.3606
F 3.8082 1.1612 1.3888
Na 2.6008 3.0582 1.8095
F 3.4874 5.0818 7.0945
Na 2.0629 2.6976 5.3359
F 0.8555 4.5946 5.7566
F 1.9005 1.5438 3.3857
F 1.1764 0.6740 0.0510
F 2.7633 4.2120 3.7597
Ce 0.0552 0.1960 3.4118
B 0.0000 0.0000 0.0000
```

Summary:
energy relative to the elements, uncorrected = -2942 meV per atom
DFT total energy = -5.461 eV/atom